# AcDyZnSn

An optimized crystal structure of AcDyZnSn (PBE, Alexandria via LeMat-Bulk).

Values from the calculation:
symmetry	F-43m
total magnetization	0.000	μB/atom
formation enthalpy at 0 K	-0.43	eV/atom

Cell lengths 7.6998, 7.6998, 7.6998 Å; angles 90.00, 90.00, 90.00 degrees
Last column: nearest neighbours and their distance in Å.
Atoms (fractional coordinates):
Ac1 0.0000 0.0000 0.0000  4 Sn 3.33, 4 Zn 3.33
Ac2 0.0000 0.5000 0.5000  4 Sn 3.33, 4 Zn 3.33
Ac3 0.5000 0.0000 0.5000  4 Sn 3.33, 4 Zn 3.33
Ac4 0.5000 0.5000 0.0000  4 Sn 3.33, 4 Zn 3.33
Dy1 0.0000 0.0000 0.5000  4 Sn 3.33, 4 Zn 3.33
Dy2 0.0000 0.5000 0.0000  4 Sn 3.33, 4 Zn 3.33
Dy3 0.5000 0.0000 0.0000  4 Sn 3.33, 4 Zn 3.33
Dy4 0.5000 0.5000 0.5000  4 Sn 3.33, 4 Zn 3.33
Zn1 0.2500 0.2500 0.7500  4 Ac 3.33, 4 Dy 3.33
Zn2 0.2500 0.7500 0.2500  4 Ac 3.33, 4 Dy 3.33
Zn3 0.7500 0.2500 0.2500  4 Ac 3.33, 4 Dy 3.33
Zn4 0.7500 0.7500 0.7500  4 Ac 3.33, 4 Dy 3.33
Sn1 0.2500 0.2500 0.2500  4 Ac 3.33, 4 Dy 3.33
Sn2 0.2500 0.7500 0.7500  4 Ac 3.33, 4 Dy 3.33
Sn3 0.7500 0.2500 0.7500  4 Ac 3.33, 4 Dy 3.33
Sn4 0.7500 0.7500 0.2500  4 Ac 3.33, 4 Dy 3.33

***

# NiWI2N

An optimized crystal structure of NiWI2N (PBE, Alexandria via LeMat-Bulk).

Values from the calculation:
formation energy from raw total energies	0.8208	eV/atom
symmetry	P4/mmm
energy relative to the lowest polymorph listed for this composition	0.0000	eV per atom
total magnetization	0.389	μB/atom

Cell lengths 5.5808, 5.5808, 3.8157 Å; angles 90.00, 90.00, 90.00 degrees
Last column: nearest neighbours and their distance in Å.
Atoms (fractional coordinates):
Ni1 0.0000 0.0000 0.0000  8 I 3.38
W1 0.5000 0.5000 0.5000  2 N 1.91
I1 0.0000 0.5000 0.5000  2 W 2.79
I2 0.5000 0.0000 0.5000  2 W 2.79
N1 0.5000 0.5000 0.0000  2 W 1.91

***

# CdIn12Ga7

An optimized crystal structure of CdIn12Ga7 (PBE, Alexandria via LeMat-Bulk).

Values from the calculation:
symmetry	R-3
energy relative to the lowest polymorph listed for this composition	0.0000	eV per atom
total magnetization	0.000	μB/atom
formation enthalpy at 0 K	0.05	eV/atom

Cell lengths 8.2533, 8.2533, 8.2533 Å; angles 105.11, 105.11, 105.11 degrees
Last column: nearest neighbours and their distance in Å.
Atoms (fractional coordinates):
Cd1 0.0000 0.0000 0.0000  6 Ga 3.06, 6 In 3.20
In1 0.0778 0.3803 0.2916  4 Ga 3.07-3.26, 3 In 3.18-3.29, 1 Cd 3.20
In2 0.2149 0.4162 0.7015  3 Ga 2.96-3.25, 3 In 3.18-3.29
In3 0.2916 0.0778 0.3803  4 Ga 3.07-3.26, 3 In 3.18-3.29, 1 Cd 3.20
In4 0.2985 0.7851 0.5838  3 Ga 2.96-3.25, 3 In 3.18-3.29
In5 0.3803 0.2916 0.0778  4 Ga 3.07-3.26, 3 In 3.18-3.29, 1 Cd 3.20
In6 0.4162 0.7015 0.2149  3 Ga 2.96-3.25, 3 In 3.18-3.29
In7 0.5838 0.2985 0.7851  3 Ga 2.96-3.25, 3 In 3.18-3.29
In8 0.6197 0.7084 0.9222  4 Ga 3.07-3.26, 3 In 3.18-3.29, 1 Cd 3.20
In9 0.7015 0.2149 0.4162  3 Ga 2.96-3.25, 3 In 3.18-3.29
In10 0.7084 0.9222 0.6197  4 Ga 3.07-3.26, 3 In 3.18-3.29, 1 Cd 3.20
In11 0.7851 0.5838 0.2985  3 Ga 2.96-3.25, 3 In 3.18-3.29
In12 0.9222 0.6197 0.7084  4 Ga 3.07-3.26, 3 In 3.18-3.29, 1 Cd 3.20
Ga1 0.0348 0.6803 0.1106  1 Ga 2.87, 4 In 2.96-3.21, 1 Cd 3.06
Ga2 0.1106 0.0348 0.6803  1 Ga 2.87, 4 In 2.96-3.21, 1 Cd 3.06
Ga3 0.3197 0.8894 0.9652  1 Ga 2.87, 4 In 2.96-3.21, 1 Cd 3.06
Ga4 0.5000 0.5000 0.5000  12 In 3.20-3.25
Ga5 0.6803 0.1106 0.0348  1 Ga 2.87, 4 In 2.96-3.21, 1 Cd 3.06
Ga6 0.8894 0.9652 0.3197  1 Ga 2.87, 4 In 2.96-3.21, 1 Cd 3.06
Ga7 0.9652 0.3197 0.8894  1 Ga 2.87, 4 In 2.96-3.21, 1 Cd 3.06

***

# CsCd6Au3

An optimized crystal structure of CsCd6Au3 (PBE, Alexandria via LeMat-Bulk).

Values from the calculation:
symmetry	P2_1/c
total magnetization	0.000	μB/atom
formation enthalpy at 0 K	-0.10	eV/atom

Cell lengths 7.3841, 7.1454, 10.6164 Å; angles 90.00, 110.89, 90.00 degrees
Last column: nearest neighbours and their distance in Å.
Atoms (fractional coordinates):
Cs1 0.0000 0.0000 0.0000  4 Au 3.60-3.69, 12 Cd 3.76-4.02
Cs2 0.0000 0.5000 0.5000  4 Au 3.60-3.69, 12 Cd 3.76-4.02
Cd1 0.0693 0.0179 0.6593  2 Au 2.82-2.97, 2 Cd 2.89-2.96
Cd2 0.0693 0.4821 0.1593  2 Au 2.82-2.97, 2 Cd 2.89-2.96
Cd3 0.2784 0.1937 0.3456  3 Au 2.82-2.89, 3 Cd 2.89-3.13
Cd4 0.2784 0.3063 0.8456  3 Au 2.82-2.89, 3 Cd 2.89-3.13
Cd5 0.4290 0.7170 0.7985  4 Au 2.85-3.11, 1 Cd 3.13
Cd6 0.4290 0.7830 0.2985  4 Au 2.85-3.11, 1 Cd 3.13
Cd7 0.5710 0.2170 0.7015  4 Au 2.85-3.11, 1 Cd 3.13
Cd8 0.5710 0.2830 0.2015  4 Au 2.85-3.11, 1 Cd 3.13
Cd9 0.7216 0.6937 0.1544  3 Au 2.82-2.89, 3 Cd 2.89-3.13
Cd10 0.7216 0.8063 0.6544  3 Au 2.82-2.89, 3 Cd 2.89-3.13
Cd11 0.9307 0.5179 0.8407  2 Au 2.82-2.97, 2 Cd 2.89-2.96
Cd12 0.9307 0.9821 0.3407  2 Au 2.82-2.97, 2 Cd 2.89-2.96
Au1 0.3240 0.6110 0.0338  7 Cd 2.82-3.11, 1 Au 3.14
Au2 0.3240 0.8890 0.5338  7 Cd 2.82-3.11, 1 Au 3.14
Au3 0.5000 0.0000 0.0000  4 Cd 2.85-2.87, 2 Au 3.14
Au4 0.5000 0.5000 0.5000  4 Cd 2.85-2.87, 2 Au 3.14
Au5 0.6760 0.1110 0.4662  7 Cd 2.82-3.11, 1 Au 3.14
Au6 0.6760 0.3890 0.9662  7 Cd 2.82-3.11, 1 Au 3.14

***

# BeSiBi2Cl

An optimized crystal structure of BeSiBi2Cl (PBE, Alexandria via LeMat-Bulk).

Values from the calculation:
formation energy from raw total energies	0.7839	eV/atom
symmetry	P4/mmm
total magnetization	0.000	μB/atom

Cell lengths 5.5065, 5.5065, 4.5849 Å; angles 90.00, 90.00, 90.00 degrees
Last column: nearest neighbours and their distance in Å.
Atoms (fractional coordinates):
Be1 0.0000 0.0000 0.0000  8 Bi 3.58, 4 Cl 3.89
Si1 0.5000 0.5000 0.5000  2 Cl 2.29
Bi1 0.0000 0.5000 0.5000  2 Si 2.75
Bi2 0.5000 0.0000 0.5000  2 Si 2.75
Cl1 0.5000 0.5000 0.0000  2 Si 2.29

***

# LaRe2Hg

An optimized crystal structure of LaRe2Hg (PBE, Alexandria via LeMat-Bulk).

Values from the calculation:
symmetry	P2/m
energy relative to the lowest polymorph listed for this composition	0.5530	eV per atom
total magnetization	0.000	μB/atom
formation enthalpy at 0 K	0.73	eV/atom

Cell lengths 3.2106, 5.0437, 5.3081 Å; angles 90.00, 91.99, 90.00 degrees
Last column: nearest neighbours and their distance in Å.
Atoms (fractional coordinates):
La1 0.0000 0.0000 0.0000  4 Re 2.99, 4 Hg 3.05-3.15, 2 La 3.21
Re1 0.3552 0.5000 0.7919  1 Re 2.37
Re2 0.6448 0.5000 0.2081  1 Re 2.37
Hg1 0.5000 0.0000 0.5000  4 Re 3.00, 4 La 3.05-3.15, 2 Hg 3.21

***

# Fe3Sn

An optimized crystal structure of Fe3Sn (PBE, Alexandria via LeMat-Bulk).

Values from the calculation:
symmetry	P6_3/mmc
total magnetization	1.744	μB/atom
formation enthalpy at 0 K	0.04	eV/atom

Cell lengths 5.4585, 5.4585, 4.3137 Å; angles 90.00, 90.00, 120.00 degrees
Last column: nearest neighbours and their distance in Å.
Atoms (fractional coordinates):
Fe1 0.1514 0.3028 0.2500  6 Fe 2.48-2.59, 4 Sn 2.73-2.76
Fe2 0.1514 0.8486 0.2500  6 Fe 2.48-2.59, 4 Sn 2.73-2.76
Fe3 0.3028 0.1514 0.7500  6 Fe 2.48-2.59, 4 Sn 2.73-2.76
Fe4 0.6972 0.8486 0.2500  6 Fe 2.48-2.59, 4 Sn 2.73-2.76
Fe5 0.8486 0.1514 0.7500  6 Fe 2.48-2.59, 4 Sn 2.73-2.76
Fe6 0.8486 0.6972 0.7500  6 Fe 2.48-2.59, 4 Sn 2.73-2.76
Sn1 0.3333 0.6667 0.7500  12 Fe 2.73-2.76
Sn2 0.6667 0.3333 0.2500  12 Fe 2.73-2.76

***

# SmErOs

An optimized crystal structure of SmErOs (PBE, Alexandria via LeMat-Bulk).

Values from the calculation:
symmetry	F-43m
energy relative to the lowest polymorph listed for this composition	0.0199	eV per atom
total magnetization	0.000	μB/atom
formation enthalpy at 0 K	-0.17	eV/atom

Cell lengths 6.7954, 6.7954, 6.7954 Å; angles 90.00, 90.00, 90.00 degrees
Last column: nearest neighbours and their distance in Å.
Atoms (fractional coordinates):
Sm1 0.0000 0.0000 0.0000  4 Os 2.94
Sm2 0.0000 0.5000 0.5000  4 Os 2.94
Sm3 0.5000 0.0000 0.5000  4 Os 2.94
Sm4 0.5000 0.5000 0.0000  4 Os 2.94
Er1 0.0000 0.0000 0.5000  4 Os 2.94
Er2 0.0000 0.5000 0.0000  4 Os 2.94
Er3 0.5000 0.0000 0.0000  4 Os 2.94
Er4 0.5000 0.5000 0.5000  4 Os 2.94
Os1 0.2500 0.2500 0.2500  4 Er 2.94, 4 Sm 2.94
Os2 0.2500 0.7500 0.7500  4 Er 2.94, 4 Sm 2.94
Os3 0.7500 0.2500 0.7500  4 Er 2.94, 4 Sm 2.94
Os4 0.7500 0.7500 0.2500  4 Er 2.94, 4 Sm 2.94